The following is a DFT calculation (PBE with a Hubbard U) of a relaxed structure of LiMoOF2.

CIF file:
```
data_LiMoOF2
_chemical_formula_sum 'Li1 Mo1 O1 F2'
_space_group_name_H-M_alt 'P 1'
_space_group_IT_number 1
_space_group_name_Hall 'P 1'
_cell_length_a 3.428
_cell_length_b 3.428
_cell_length_c 4.210
_cell_angle_alpha 90.00
_cell_angle_beta 90.00
_cell_angle_gamma 90.00
loop_
_atom_site_label
_atom_site_type_symbol
_atom_site_fract_x
_atom_site_fract_y
_atom_site_fract_z
Li1 Li 0.000 0.000 0.000
Mo1 Mo 0.500 0.500 0.500
O1 O 0.000 0.000 0.500
F1 F 0.000 0.500 0.000
F2 F 0.500 0.000 0.000
```

Symmetry ... No. 123
Magnetization ... 0.600 μB per atom
Total energy ... -5.19 eV per atom